No. 1
4
Lattice="3.147 0.000 0.000 0.000 3.147 0.000 0.000 0.000 7.141" Properties=species:S:1:pos:R:3 comment="NpTcAs2 (GGA-PBE, relaxed)" crystal_system=tetragonal total_energy_ev_per_atom=-8.364 dos_at_fermi_per_ev_cell=5.51 e_above_lowest_polymorph_mev_per_atom=203.5 pbc="T T T"
Np 0.000 0.000 0.000
Tc 0.000 0.000 3.570
As 1.574 1.574 2.083
As 1.574 1.574 5.058

No. 2
8
Lattice="8.707 0.000 0.000 0.000 2.759 0.000 -1.077 0.000 4.560" Properties=species:S:1:pos:R:3 comment="ZnCrRu2 (GGA-PBE, relaxed)" crystal_system=monoclinic total_energy_ev_per_atom=-7.248 dos_at_fermi_per_ev_cell=8.44 pbc="T T T"
Zn 0.000 0.000 0.000
Zn 4.354 1.380 0.000
Cr -0.539 1.380 2.280
Cr 3.815 0.000 2.280
Ru 1.269 0.000 3.377
Ru 2.007 1.380 1.183
Ru 5.622 1.380 3.377
Ru 6.361 0.000 1.183

No. 3
6
Lattice="3.481 0.000 0.000 0.000 3.481 0.000 0.000 0.000 11.947" Properties=species:S:1:pos:R:3 comment="ThRhPb (GGA-PBE, relaxed)" crystal_system=tetragonal total_energy_ev_per_atom=-6.573 dos_at_fermi_per_ev_cell=5.70 pbc="T T T"
Th 0.000 0.000 0.000
Th 1.740 1.740 5.974
Rh 0.000 0.000 4.320
Rh 1.740 1.740 10.294
Pb 0.000 0.000 8.528
Pb 1.740 1.740 2.554

No. 4
16
Lattice="4.299 0.000 0.000 0.000 4.299 0.000 0.000 0.000 17.241" Properties=species:S:1:pos:R:3 comment="Pm3ScGa12 (GGA-PBE, relaxed)" crystal_system=tetragonal total_energy_ev_per_atom=-4.071 dos_at_fermi_per_ev_cell=8.84 pbc="T T T"
Pm 0.000 0.000 0.000
Pm 0.000 0.000 4.447
Pm 0.000 0.000 12.794
Sc 0.000 0.000 8.620
Ga 0.000 2.150 2.217
Ga 0.000 2.150 6.641
Ga 0.000 2.150 10.600
Ga 0.000 2.150 15.023
Ga 2.150 0.000 2.217
Ga 2.150 0.000 6.641
Ga 2.150 0.000 10.600
Ga 2.150 0.000 15.023
Ga 2.150 2.150 0.000
Ga 2.150 2.150 4.314
Ga 2.150 2.150 8.620
Ga 2.150 2.150 12.927

No. 5
16
Lattice="10.167 0.000 0.000 0.000 10.167 0.000 0.000 0.000 10.167" Properties=species:S:1:pos:R:3 comment="KMn (GGA-PBE, relaxed)" crystal_system=cubic total_energy_ev_per_atom=-4.125 dos_at_fermi_per_ev_cell=14.38 e_above_lowest_polymorph_mev_per_atom=263.2 pbc="T T T"
K 2.163 2.163 2.163
K 2.163 8.004 8.004
K 2.920 2.920 7.247
K 2.920 7.247 2.920
K 7.247 2.920 2.920
K 7.247 7.247 7.247
K 8.004 2.163 8.004
K 8.004 8.004 2.163
Mn 0.902 0.902 9.265
Mn 0.902 9.265 0.902
Mn 4.181 4.181 4.181
Mn 4.181 5.986 5.986
Mn 5.986 4.181 5.986
Mn 5.986 5.986 4.181
Mn 9.265 0.902 0.902
Mn 9.265 9.265 9.265

No. 6
5
Lattice="4.983 0.000 0.000 0.000 4.983 0.000 0.000 0.000 4.508" Properties=species:S:1:pos:R:3 comment="KHf2MnRe (GGA-PBE, relaxed)" crystal_system=tetragonal total_energy_ev_per_atom=-7.604 dos_at_fermi_per_ev_cell=5.51 pbc="T T T"
K 0.000 0.000 0.000
Hf 0.000 2.491 2.254
Hf 2.491 0.000 2.254
Mn 2.491 2.491 2.254
Re 2.491 2.491 0.000

No. 7
8
Lattice="10.610 0.000 0.000 0.000 3.098 0.000 -1.438 0.000 5.035" Properties=species:S:1:pos:R:3 comment="CaScMn2 (GGA-PBE, relaxed)" crystal_system=monoclinic total_energy_ev_per_atom=-6.296 dos_at_fermi_per_ev_cell=9.30 e_above_lowest_polymorph_mev_per_atom=134.6 pbc="T T T"
Ca 0.000 0.000 0.000
Ca 5.305 1.549 0.000
Sc 1.231 0.000 3.105
Sc 6.536 1.549 3.105
Mn 2.506 1.549 0.927
Mn 4.071 0.000 2.387
Mn 7.811 0.000 0.927
Mn 9.376 1.549 2.387

No. 8
4
Lattice="4.409 0.000 0.000 0.000 4.409 0.000 0.000 0.000 3.750" Properties=species:S:1:pos:R:3 comment="PuNpMn2 (GGA-PBE, relaxed)" crystal_system=tetragonal total_energy_ev_per_atom=-11.198 dos_at_fermi_per_ev_cell=8.13 pbc="T T T"
Pu 0.000 0.000 0.000
Np 2.205 2.205 0.000
Mn 0.000 2.205 1.875
Mn 2.205 0.000 1.875

No. 9
14
Lattice="-4.734 4.734 4.732 4.734 -4.734 4.732 4.734 4.734 -4.732" Properties=species:S:1:pos:R:3 comment="Th4SbTe2 (GGA-PBE, relaxed)" crystal_system=tetragonal total_energy_ev_per_atom=-6.527 dos_at_fermi_per_ev_cell=20.99 e_above_lowest_polymorph_mev_per_atom=0.0 pbc="T T T"
Th 3.081 4.021 -2.825
Th 5.447 1.653 -0.459
Th 1.653 0.713 1.906
Th 1.653 4.021 0.459
Th 3.081 0.713 5.191
Th 5.447 3.081 2.825
Th -0.713 3.081 4.272
Th -0.713 1.653 7.557
Sb 4.734 0.000 2.366
Sb 0.000 0.000 4.732
Te 2.367 1.192 -1.183
Te 3.543 -2.367 5.914
Te 2.367 3.543 3.549
Te 1.192 7.102 1.183

No. 10
20
Lattice="9.370 0.000 0.000 0.000 5.920 0.000 0.000 0.000 10.789" Properties=species:S:1:pos:R:3 comment="Sn2HgSe2 (GGA-PBE, relaxed)" crystal_system=orthorhombic total_energy_ev_per_atom=-3.313 e_above_lowest_polymorph_mev_per_atom=0.0 pbc="T T T"
Sn 0.729 1.480 1.053
Sn 0.952 1.480 6.678
Sn 3.733 4.440 1.283
Sn 3.955 4.440 6.448
Sn 5.414 1.480 4.342
Sn 5.637 1.480 9.506
Sn 8.418 4.440 4.112
Sn 8.640 4.440 9.736
Hg 2.280 1.480 3.812
Hg 2.405 4.440 9.207
Hg 6.964 1.480 1.582
Hg 7.090 4.440 6.977
Se 0.440 4.440 1.547
Se 1.192 4.440 5.999
Se 3.493 1.480 0.604
Se 4.245 1.480 6.942
Se 5.125 4.440 3.848
Se 5.877 4.440 10.186
Se 8.178 1.480 4.791
Se 8.930 1.480 9.242

No. 11
16
Lattice="3.819 0.000 0.000 0.000 5.324 0.000 0.000 0.000 22.524" Properties=species:S:1:pos:R:3 comment="Pr2Nd3Al3 (GGA-PBE, relaxed)" crystal_system=orthorhombic total_energy_ev_per_atom=-4.632 dos_at_fermi_per_ev_cell=11.43 pbc="T T T"
Pr 0.000 0.000 5.137
Pr 0.000 0.000 17.386
Pr 1.910 2.662 6.124
Pr 1.910 2.662 16.399
Nd 0.000 0.000 0.000
Nd 0.000 2.662 2.612
Nd 0.000 2.662 19.911
Nd 1.910 0.000 8.649
Nd 1.910 0.000 13.874
Nd 1.910 2.662 11.262
Al 0.000 0.000 11.262
Al 0.000 2.662 8.659
Al 0.000 2.662 13.864
Al 1.910 0.000 2.603
Al 1.910 0.000 19.921
Al 1.910 2.662 0.000

No. 12
16
Lattice="2.840 -7.204 0.000 2.840 7.204 0.000 0.000 0.000 13.289" Properties=species:S:1:pos:R:3 comment="Ho5Te2Pt (GGA-PBE, relaxed)" crystal_system=orthorhombic total_energy_ev_per_atom=-5.030 dos_at_fermi_per_ev_cell=17.48 pbc="T T T"
Ho 2.840 6.050 8.174
Ho 2.840 6.050 11.759
Ho 2.840 2.888 3.322
Ho 2.840 2.677 7.327
Ho 2.840 2.677 12.606
Ho 2.840 -2.677 0.683
Ho 2.840 -2.677 5.962
Ho 2.840 -2.888 9.967
Ho 2.840 -6.050 1.529
Ho 2.840 -6.050 5.115
Te 2.840 5.287 1.365
Te 2.840 5.287 5.280
Te 2.840 -5.287 8.009
Te 2.840 -5.287 11.924
Pt 2.840 4.031 9.967
Pt 2.840 -4.031 3.322

No. 13
12
Lattice="2.711 0.000 0.000 0.006 7.828 0.000 1.353 0.234 8.241" Properties=species:S:1:pos:R:3 comment="Os3Ru2Rh (GGA-PBE, relaxed)" crystal_system=triclinic total_energy_ev_per_atom=-9.674 dos_at_fermi_per_ev_cell=13.71 pbc="T T T"
Os 0.681 3.080 3.196
Os 0.682 7.239 1.048
Os 2.033 7.263 5.258
Os 2.037 0.799 2.983
Os 3.388 0.823 7.193
Os 3.389 4.982 5.045
Ru 0.677 1.953 0.857
Ru 2.034 2.312 5.299
Ru 2.036 5.750 2.942
Ru 3.393 6.109 7.384
Rh 0.682 4.558 0.999
Rh 3.388 3.504 7.242

No. 14
12
Lattice="4.103 -7.155 0.000 4.103 7.155 0.000 -2.866 0.000 6.993" Properties=species:S:1:pos:R:3 comment="Cs2K3NpS6 (GGA-PBE, relaxed)" crystal_system=monoclinic total_energy_ev_per_atom=-4.675 pbc="T T T"
Cs 4.103 4.734 0.000
Cs 4.103 -4.734 0.000
K -1.433 0.000 3.497
K 2.670 2.211 3.497
K 2.670 -2.211 3.497
Np 4.103 0.000 0.000
S 0.248 1.789 5.485
S 2.007 0.000 1.372
S 0.248 -1.789 5.485
S 5.091 1.789 1.508
S 3.332 0.000 5.621
S 5.091 -1.789 1.508

No. 15
4
Lattice="3.261 0.000 0.000 0.000 3.261 0.000 0.000 0.000 8.817" Properties=species:S:1:pos:R:3 comment="PuSc2Cd (GGA-PBE, relaxed)" crystal_system=tetragonal total_energy_ev_per_atom=-7.044 dos_at_fermi_per_ev_cell=9.18 e_above_lowest_polymorph_mev_per_atom=0.0 pbc="T T T"
Pu 0.000 0.000 0.000
Sc 1.630 1.630 2.316
Sc 1.630 1.630 6.501
Cd 0.000 0.000 4.409

No. 16
12
Lattice="2.693 1.555 8.718 -2.693 1.555 8.718 0.000 -3.110 8.718" Properties=species:S:1:pos:R:3 comment="ErCd3Pt8 (GGA-PBE, relaxed)" crystal_system=trigonal total_energy_ev_per_atom=-5.118 dos_at_fermi_per_ev_cell=12.30 pbc="T T T"
Er 0.000 0.000 0.000
Cd 0.000 0.000 9.996
Cd 0.000 0.000 13.182
Cd 0.000 0.000 22.838
Pt 0.000 0.000 4.943
Pt 0.000 -1.561 15.851
Pt -1.346 -0.777 20.185
Pt -1.352 0.781 15.851
Pt 0.000 0.000 18.017
Pt 1.345 -0.777 20.185
Pt 0.000 1.554 20.185
Pt 1.352 0.781 15.851

No. 17
5
Lattice="4.068 0.000 0.000 0.000 4.068 0.000 0.000 0.000 4.197" Properties=species:S:1:pos:R:3 comment="LaAgN2O (GGA-PBE, relaxed)" crystal_system=tetragonal total_energy_ev_per_atom=-5.747 dos_at_fermi_per_ev_cell=4.21 pbc="T T T"
La 0.000 0.000 0.000
Ag 2.034 2.034 2.099
N 0.000 2.034 2.099
N 2.034 0.000 2.099
O 2.034 2.034 0.000

No. 18
16
Lattice="6.415 0.000 0.000 0.000 6.415 0.000 0.000 0.000 6.415" Properties=species:S:1:pos:R:3 comment="NbMo2Cl (GGA-PBE, relaxed)" crystal_system=cubic total_energy_ev_per_atom=-7.496 dos_at_fermi_per_ev_cell=10.52 e_above_lowest_polymorph_mev_per_atom=65.2 pbc="T T T"
Nb 0.000 0.000 0.000
Nb 0.000 3.208 3.208
Nb 3.208 0.000 3.208
Nb 3.208 3.208 0.000
Mo 1.604 1.604 1.604
Mo 1.604 1.604 4.811
Mo 1.604 4.811 1.604
Mo 1.604 4.811 4.811
Mo 4.811 1.604 1.604
Mo 4.811 1.604 4.811
Mo 4.811 4.811 1.604
Mo 4.811 4.811 4.811
Cl 0.000 0.000 3.208
Cl 0.000 3.208 0.000
Cl 3.208 0.000 0.000
Cl 3.208 3.208 3.208

No. 19
10
Lattice="5.247 -9.647 0.000 5.247 9.647 0.000 0.000 0.000 3.341" Properties=species:S:1:pos:R:3 comment="Sn2HgPb7 (GGA-PBE, relaxed)" crystal_system=orthorhombic total_energy_ev_per_atom=-3.299 dos_at_fermi_per_ev_cell=4.49 pbc="T T T"
Sn 5.247 6.344 0.000
Sn 5.247 -6.344 0.000
Hg 5.247 0.000 1.671
Pb 0.000 0.000 0.000
Pb 2.808 1.819 0.000
Pb 5.247 3.559 1.671
Pb 2.808 -1.819 0.000
Pb 7.685 1.819 0.000
Pb 5.247 -3.559 1.671
Pb 7.685 -1.819 0.000

No. 20
12
Lattice="3.008 -5.211 0.000 3.008 5.211 0.000 -1.873 0.000 5.675" Properties=species:S:1:pos:R:3 comment="Na3La2PtO6 (GGA-PBE, relaxed)" crystal_system=monoclinic total_energy_ev_per_atom=-6.098 pbc="T T T"
Na 0.000 0.000 0.000
Na 3.008 1.568 0.000
Na 3.008 -1.568 0.000
La 2.072 3.433 2.838
La 2.072 -3.433 2.838
Pt 2.072 0.000 2.838
O 1.071 1.662 1.515
O 0.309 0.000 4.001
O 1.071 -1.662 1.515
O 3.073 1.662 4.161
O 3.835 0.000 1.674
O 3.073 -1.662 4.161

No. 21
14
Lattice="6.036 -3.475 0.000 6.036 3.475 0.000 -4.819 0.000 11.908" Properties=species:S:1:pos:R:3 comment="PmPr5Y (GGA-PBE, relaxed)" crystal_system=monoclinic total_energy_ev_per_atom=-4.854 dos_at_fermi_per_ev_cell=22.25 e_above_lowest_polymorph_mev_per_atom=2.4 pbc="T T T"
Pm 3.018 1.737 0.000
Pm 0.608 -1.737 5.954
Pr 2.422 3.177 8.931
Pr -0.299 0.916 8.935
Pr 2.717 1.584 5.954
Pr 2.126 1.584 11.907
Pr 2.111 -0.916 2.981
Pr 5.142 0.916 8.926
Pr 5.127 -1.584 0.000
Pr 4.536 -1.584 5.953
Pr 7.552 -0.916 2.972
Pr 4.831 -3.177 2.977
Y 4.831 0.624 2.977
Y 2.422 -0.624 8.931

No. 22
5
Lattice="4.521 0.000 0.000 0.000 4.521 0.000 0.000 0.000 5.335" Properties=species:S:1:pos:R:3 comment="LaInGaF2 (GGA-PBE, relaxed)" crystal_system=tetragonal total_energy_ev_per_atom=-4.299 dos_at_fermi_per_ev_cell=3.37 pbc="T T T"
La 0.000 0.000 0.000
In 2.261 2.261 2.668
Ga 2.261 2.261 0.000
F 0.000 2.261 2.668
F 2.261 0.000 2.668

No. 23
6
Lattice="0.000 3.918 3.918 3.918 0.000 3.918 3.918 3.918 0.000" Properties=species:S:1:pos:R:3 comment="ScAs5 (GGA-PBE, relaxed)" crystal_system=cubic total_energy_ev_per_atom=-4.817 dos_at_fermi_per_ev_cell=5.14 e_above_lowest_polymorph_mev_per_atom=329.1 pbc="T T T"
Sc 0.000 0.000 0.000
As 2.941 2.941 2.941
As 4.894 4.894 2.941
As 4.894 2.941 4.894
As 5.877 5.877 5.877
As 2.941 4.894 4.894